--- i ---
The following is a PBE-GGA calculation of LiAsH2O4 after structural relaxation, from Alexandria.

abc: 6.5864 7.8524 7.3588
angles: 90.00 90.00 90.00
Space group Pna2_1 (No. 33)
Inequivalent atoms, fractional coordinates:
Li 0.0185 0.2118 0.0000
As 0.1931 0.5809 0.1730
H 0.0055 0.8728 0.0548
H 0.0145 0.3645 0.3299
O 0.0676 0.0150 0.5914
O 0.0705 0.6926 0.0086
O 0.0749 0.3820 0.2001
O 0.2176 0.6874 0.3705

As for the density of states at the Fermi level: 0.0 states/eV/cell.

***

--- ii ---
The following is a PBE-GGA calculation of LiAsH2O4 after structural relaxation, from Alexandria.

abc: 4.2777 5.5173 6.8076
angles: 90.00 90.00 90.00
Space group I222 (No. 23)
Inequivalent atoms, fractional coordinates:
Li 0.0000 0.0000 0.0000
As 0.0000 0.5000 0.0000
H 0.0000 0.1990 0.5000
O 0.2391 0.2082 0.3986

As for the density of states at the Fermi level: 0.0 states/eV/cell.

***

Need the numbers? Relative energies in kJ/mol of atoms: i 0.0; ii 15.8.

***

--- i ---
The following is a PBE-GGA calculation of LiPmAsH after structural relaxation, from Alexandria.

abc: 3.9989 3.9989 8.2753
angles: 90.00 90.00 90.00
Space group P4/nmm (No. 129, origin choice 2)
Inequivalent atoms, fractional coordinates:
Li 0.2500 0.7500 0.0000
Pm 0.2500 0.2500 0.3439
As 0.2500 0.2500 0.7978
H 0.2500 0.7500 0.5000

As for the density of states at the Fermi level: 0.1 states/eV/cell.

***

--- ii ---
The following is a PBE-GGA calculation of LiPmAsH after structural relaxation, from Alexandria.

abc: 6.6370 6.6370 6.6370
angles: 90.00 90.00 90.00
Space group F-43m (No. 216)
Inequivalent atoms, fractional coordinates:
Li 0.0000 0.0000 0.0000
Pm 0.0000 0.0000 0.5000
As 0.2500 0.2500 0.2500
H 0.2500 0.2500 0.7500

***

Need the numbers? Relative energies in kJ/mol of atoms: i 0.0; ii 28.2.

***

--- i ---
The following is a PBE-GGA calculation of Li2SnAsH after structural relaxation, from Alexandria.

abc: 4.2967 4.2967 4.2505
angles: 90.00 90.00 90.00
Space group P4/mmm (No. 123)
Inequivalent atoms, fractional coordinates:
Li 0.0000 0.5000 0.0000
Sn 0.0000 0.0000 0.5000
As 0.5000 0.5000 0.5000
H 0.5000 0.5000 0.0000

As for the density of states at the Fermi level: 0.4 states/eV/cell.

***

--- ii ---
The following is a PBE-GGA calculation of Li2SnAsH after structural relaxation, from Alexandria.

abc: 4.2427 4.2427 4.4796
angles: 90.00 90.00 90.00
Space group P4/mmm (No. 123)
Inequivalent atoms, fractional coordinates:
Li 0.0000 0.5000 0.0000
Sn 0.0000 0.0000 0.5000
As 0.5000 0.5000 0.5000
H 0.0000 0.0000 0.0000

As for the density of states at the Fermi level: 0.4 states/eV/cell.

***

Need the numbers? Relative energies in kJ/mol of atoms: i 7.0; ii 0.0.